Record 1
DFT (PBE-GGA) results for TaMnReIr after structural relaxation.

Unit cell a=4.422 b=4.422 c=4.422 alpha=60.00 beta=60.00 gamma=60.00
Sites, in units of the cell vectors:
Ta  0.000  0.000  0.000
Mn  0.500  0.500  0.500
Re  0.750  0.750  0.750
Ir  0.250  0.250  0.250

Results
DOS(E_F) = 2.5 states/eV/cell
Formation enthalpy at 0 K = -0.215 eV/atom
Space-group type = F-43m


Record 2
DFT (PBE-GGA) results for EuDySiHg after structural relaxation.

Unit cell a=5.216 b=5.216 c=5.216 alpha=60.00 beta=60.00 gamma=60.00
Sites, in units of the cell vectors:
Eu  0.000  0.000  0.000
Dy  0.500  0.500  0.500
Si  0.750  0.750  0.750
Hg  0.250  0.250  0.250

Results
E_form (uncorrected) = -1.750 eV per formula unit
DOS(E_F) = 2.8 states/eV/cell
Space-group type = F-43m


Question: Which formula does entry 1 have?
Answer: TaMnReIr


Question: Which value of DOS(E_F) does entry 1 give?
Answer: 2.5 states/eV/cell


Question: Among the records above, which one has the highest DOS(E_F)?
Answer: EuDySiHg


Question: Among the records above, which one has the lowest DOS(E_F)?
Answer: TaMnReIr